(1)
VASP calculation (PBE) on AcSn2Au after structural relaxation. Values from VASP.

## Properties
The value obtained for the energy relative to the lowest polymorph listed for this composition is 289 meV per atom. The density is 9.51 g/cm³. The value obtained for the formation energy is -0.320 eV per atom. The calculation puts the total magnetization at 0.00 μB per formula unit. The value obtained for the total energy is -4.168 eV/atom.

Quantum ESPRESSO input file:
```
&SYSTEM
  ibrav = 0, nat = 12, ntyp = 3
/
ATOMIC_SPECIES
Ac 227.00 Ac.upf
Sn 118.71 Sn.upf
Au 196.97 Au.upf
ATOMIC_POSITIONS crystal
Ac 0.000 0.000 0.000
Ac 0.333 0.667 0.667
Ac 0.667 0.333 0.333
Sn 0.000 0.000 0.272
Sn 0.000 0.000 0.728
Sn 0.333 0.667 0.395
Sn 0.333 0.667 0.939
Sn 0.667 0.333 0.061
Sn 0.667 0.333 0.605
Au 0.000 0.000 0.500
Au 0.333 0.667 0.167
Au 0.667 0.333 0.833
CELL_PARAMETERS angstrom
5.751 0.000 0.000
-2.876 4.981 0.000
0.000 0.000 12.091
```

(2)
VASP calculation (PBE) on Ac2SnAu4 after structural relaxation. Values from VASP.

## Properties
The density is 10.38 g/cm³. The value obtained for the formation energy is -0.409 eV per atom. The calculation puts the total magnetization at 0.00 μB per formula unit. The value obtained for the total energy is -4.027 eV/atom.

Quantum ESPRESSO input file:
```
&SYSTEM
  ibrav = 0, nat = 14, ntyp = 3
/
ATOMIC_SPECIES
Ac 227.00 Ac.upf
Sn 118.71 Sn.upf
Au 196.97 Au.upf
ATOMIC_POSITIONS crystal
Ac 0.000 0.000 0.137
Ac 0.000 0.000 0.863
Ac 0.500 0.500 0.363
Ac 0.500 0.500 0.637
Sn 0.000 0.000 0.500
Sn 0.500 0.500 0.000
Au 0.000 0.000 0.325
Au 0.000 0.000 0.675
Au 0.000 0.500 0.000
Au 0.000 0.500 0.500
Au 0.500 0.000 0.000
Au 0.500 0.000 0.500
Au 0.500 0.500 0.175
Au 0.500 0.500 0.825
CELL_PARAMETERS angstrom
5.155 0.000 0.000
0.000 5.155 0.000
0.000 0.000 16.379
```

(3)
VASP calculation (PBE) on AcSnAu after structural relaxation. Values from VASP.

## Properties
The value obtained for the energy relative to the lowest polymorph listed for this composition is 0 meV per atom. The density is 10.31 g/cm³. The value obtained for the formation energy is -0.821 eV per atom. The calculation puts the total magnetization at 0.00 μB per formula unit. The value obtained for the total energy is -4.617 eV/atom.

Quantum ESPRESSO input file:
```
&SYSTEM
  ibrav = 0, nat = 6, ntyp = 3
/
ATOMIC_SPECIES
Ac 227.00 Ac.upf
Sn 118.71 Sn.upf
Au 196.97 Au.upf
ATOMIC_POSITIONS crystal
Ac 0.000 0.000 0.000
Ac 0.000 0.000 0.500
Sn 0.333 0.667 0.250
Sn 0.667 0.333 0.750
Au 0.333 0.667 0.750
Au 0.667 0.333 0.250
CELL_PARAMETERS angstrom
4.821 0.000 0.000
-2.411 4.175 0.000
0.000 0.000 8.684
```

(4)
VASP calculation (PBE) on Ac2Sn5Au4 after structural relaxation. Values from VASP.

## Properties
The density is 10.18 g/cm³. The value obtained for the formation energy is -0.445 eV per atom. The calculation puts the total magnetization at 0.00 μB per formula unit. The value obtained for the total energy is -4.203 eV/atom.

Quantum ESPRESSO input file:
```
&SYSTEM
  ibrav = 0, nat = 11, ntyp = 3
/
ATOMIC_SPECIES
Ac 227.00 Ac.upf
Sn 118.71 Sn.upf
Au 196.97 Au.upf
ATOMIC_POSITIONS crystal
Ac 0.142 0.142 0.858
Ac 0.858 0.858 0.142
Sn 0.000 0.000 0.500
Sn 0.250 0.250 0.250
Sn 0.500 0.500 0.000
Sn 0.500 0.500 0.500
Sn 0.750 0.750 0.750
Au 0.226 0.475 0.525
Au 0.475 0.226 0.774
Au 0.525 0.774 0.226
Au 0.774 0.525 0.475
CELL_PARAMETERS angstrom
0.000 5.658 7.964
3.321 0.000 7.964
3.321 5.658 0.000
```

(5)
VASP calculation (PBE) on Ac3Sn2Au after structural relaxation. Values from VASP.

## Properties
The value obtained for the energy relative to the lowest polymorph listed for this composition is 0 meV per atom. The density is 8.92 g/cm³. The value obtained for the formation energy is -0.724 eV per atom. The calculation puts the total magnetization at 0.26 μB per formula unit. The value obtained for the total energy is -4.659 eV/atom.

Quantum ESPRESSO input file:
```
&SYSTEM
  ibrav = 0, nat = 24, ntyp = 3
/
ATOMIC_SPECIES
Ac 227.00 Ac.upf
Sn 118.71 Sn.upf
Au 196.97 Au.upf
ATOMIC_POSITIONS crystal
Ac 0.054 0.250 0.124
Ac 0.122 0.750 0.554
Ac 0.223 0.250 0.800
Ac 0.277 0.750 0.300
Ac 0.378 0.250 0.054
Ac 0.446 0.750 0.624
Ac 0.554 0.250 0.376
Ac 0.622 0.750 0.946
Ac 0.723 0.250 0.700
Ac 0.777 0.750 0.200
Ac 0.878 0.250 0.446
Ac 0.946 0.750 0.876
Sn 0.009 0.750 0.309
Sn 0.191 0.750 0.001
Sn 0.309 0.250 0.501
Sn 0.491 0.250 0.809
Sn 0.509 0.750 0.191
Sn 0.691 0.750 0.499
Sn 0.809 0.250 0.999
Sn 0.991 0.250 0.691
Au 0.128 0.250 0.365
Au 0.372 0.750 0.865
Au 0.628 0.250 0.135
Au 0.872 0.750 0.635
CELL_PARAMETERS angstrom
13.246 0.000 0.000
0.000 4.830 0.000
0.000 0.000 12.982
```

(6)
VASP calculation (PBE) on AcSn3Au after structural relaxation. Values from VASP.

## Properties
The value obtained for the energy relative to the lowest polymorph listed for this composition is 0 meV per atom. The density is 8.98 g/cm³. The value obtained for the formation energy is -0.462 eV per atom. The calculation puts the total magnetization at 0.00 μB per formula unit. The value obtained for the total energy is -4.341 eV/atom.

Quantum ESPRESSO input file:
```
&SYSTEM
  ibrav = 0, nat = 10, ntyp = 3
/
ATOMIC_SPECIES
Ac 227.00 Ac.upf
Sn 118.71 Sn.upf
Au 196.97 Au.upf
ATOMIC_POSITIONS crystal
Ac 0.168 0.832 0.000
Ac 0.832 0.168 0.000
Sn 0.058 0.942 0.500
Sn 0.278 0.722 0.500
Sn 0.443 0.557 0.000
Sn 0.557 0.443 0.000
Sn 0.722 0.278 0.500
Sn 0.942 0.058 0.500
Au 0.384 0.616 0.500
Au 0.616 0.384 0.500
CELL_PARAMETERS angstrom
2.433 -12.652 0.000
2.433 12.652 0.000
0.000 0.000 4.685
```